[1]
# BeCoP3 (PBE, optimized geometry)
# Total DFT energy (no corrections) ... -4.5271 eV/atom
# Crystal system ... cubic
# DOS(E_F) ... 7.459 states/eV/cell
# Formation energy ... 0.89 eV/atom
data_BeCoP3
_chemical_formula_sum 'Be1 Co1 P3'
_cell_length_a 4.331
_cell_length_b 4.331
_cell_length_c 4.331
_cell_angle_alpha 90.00
_cell_angle_beta 90.00
_cell_angle_gamma 90.00
_space_group_name_H-M_alt 'P m -3 m'
_space_group_IT_number 221
_space_group_name_Hall '-P 4 2 3'
loop_
_atom_site_label
_atom_site_type_symbol
_atom_site_fract_x
_atom_site_fract_y
_atom_site_fract_z
Be1 Be 0.000 0.000 0.000
Co1 Co 0.500 0.500 0.500
P1 P 0.000 0.500 0.500


[2]
# Pm2Nd7Y3 (PBE, optimized geometry)
# Total DFT energy (no corrections) ... -5.1073 eV/atom
# Crystal system ... monoclinic
# DOS(E_F) ... 17.654 states/eV/cell
# Formation energy ... 0.08 eV/atom
data_Pm2Nd7Y3
_chemical_formula_sum 'Pm2 Nd7 Y3'
_cell_length_a 5.949
_cell_length_b 3.660
_cell_length_c 19.166
_cell_angle_alpha 90.00
_cell_angle_beta 93.62
_cell_angle_gamma 90.00
_space_group_name_H-M_alt 'P 1 2/m 1'
_space_group_IT_number 10
loop_
_space_group_symop_operation_xyz
'x,y,z'
'-x,-y,-z'
'-x,y,-z'
'x,-y,z'
loop_
_atom_site_label
_atom_site_type_symbol
_atom_site_fract_x
_atom_site_fract_y
_atom_site_fract_z
Pm1 Pm 0.206 0.000 0.297
Nd1 Nd 0.177 0.500 0.145
Nd2 Nd 0.242 0.000 0.464
Nd3 Nd 0.321 0.000 0.820
Nd4 Nd 0.500 0.500 0.000
Y1 Y 0.000 0.000 0.000
Y2 Y 0.282 0.500 0.632